Crystalline YEr3 at its relaxed geometry. Source: Alexandria via LeMat-Bulk, functional PBE.

Structure (extended XYZ):
```
4
Lattice="-3.224 -1.547 -0.447 0.640 -2.727 4.823 -2.695 4.738 3.036" Properties=species:S:1:pos:R:3 pbc="T T T"
Er -3.538 1.812 4.719
Er -2.961 1.599 1.297
Er -2.691 4.730 3.031
Y -0.581 0.220 3.426
```

For the total moment, the calculation gives 0.000 Bohr magnetons per cell. The calculation puts the energy of formation at 0.00 eV per formula unit.

***

Crystalline CaC3N at its relaxed geometry. Source: Alexandria via LeMat-Bulk, functional PBE.

Structure (extended XYZ):
```
5
Lattice="-1.036 -3.535 -0.647 3.577 -0.951 -0.531 0.338 -0.766 3.645" Properties=species:S:1:pos:R:3 pbc="T T T"
C 1.789 -0.475 -0.266
C 0.169 -0.383 1.822
C -0.518 -1.767 -0.323
Ca 1.440 -2.626 1.233
N 0.000 0.000 0.000
```

For the total moment, the calculation gives 0.000 Bohr magnetons per cell. The uncorrected formation energy comes out at 13.83 eV/f.u.

***

Crystalline TiBeMo at its relaxed geometry. Source: Alexandria via LeMat-Bulk, functional PBE.

Structure (extended XYZ):
```
12
Lattice="4.811 0.000 0.000 2.406 4.126 0.000 2.406 0.000 8.143" Properties=species:S:1:pos:R:3 pbc="T T T"
Be 2.406 0.000 6.129
Be 4.811 0.000 2.014
Be 6.014 2.063 6.086
Be 6.014 2.063 2.057
Mo 6.014 3.485 4.072
Mo 2.406 2.704 0.000
Mo 6.014 0.641 4.072
Mo 4.811 1.422 0.000
Ti 3.609 2.063 5.392
Ti 4.811 0.000 6.823
Ti 3.609 2.063 2.751
Ti 2.406 0.000 1.320
```

For the total moment, the calculation gives 0.000 Bohr magnetons per cell. The calculation puts the energy of formation at -0.40 eV per formula unit.

***

Crystalline Tc3Sb5 at its relaxed geometry. Source: Alexandria via LeMat-Bulk, functional PBE.

Structure (extended XYZ):
```
16
Lattice="8.380 0.007 0.000 -5.095 5.646 0.000 -1.643 -2.827 7.157" Properties=species:S:1:pos:R:3 pbc="T T T"
Tc 5.073 1.024 1.247
Tc -3.307 1.016 5.910
Tc 0.835 1.652 7.083
Tc 0.835 1.652 0.073
Tc 0.094 2.854 3.578
Tc 0.818 -0.986 3.578
Sb -2.642 2.528 3.578
Sb -0.757 0.620 2.036
Sb -0.101 4.032 1.055
Sb 4.994 -1.614 6.101
Sb -3.272 4.849 0.901
Sb 4.005 -0.186 3.578
Sb 2.723 2.674 2.042
Sb 2.723 2.674 5.115
Sb -0.757 0.620 5.120
Sb 1.823 -0.797 6.255
```

For the total moment, the calculation gives 0.000 Bohr magnetons per cell. The uncorrected formation energy comes out at 2.09 eV/f.u.

***

Crystalline YLuTlAu at its relaxed geometry. Source: Alexandria via LeMat-Bulk, functional PBE.

Structure (extended XYZ):
```
4
Lattice="-3.996 0.124 3.316 -4.631 -1.859 -1.442 -1.789 -4.411 2.077" Properties=species:S:1:pos:R:3 pbc="T T T"
Tl 0.000 0.000 0.000
Lu -2.604 -1.536 0.988
Au -5.208 -3.073 1.976
Y -7.811 -4.609 2.964
```

For the total moment, the calculation gives 0.000 Bohr magnetons per cell. The calculation puts the energy of formation at -2.28 eV per formula unit.

***

Crystalline BaSrAl2 at its relaxed geometry. Source: Alexandria via LeMat-Bulk, functional PBE.

Structure (extended XYZ):
```
4
Lattice="5.438 -1.403 1.153 1.178 -3.644 4.266 1.912 -5.274 -1.181" Properties=species:S:1:pos:R:3 pbc="T T T"
Al 6.395 -7.740 3.178
Al 2.132 -2.580 1.059
Ba 4.264 -5.160 2.119
Sr 0.000 0.000 0.000
```

For the total moment, the calculation gives 0.000 Bohr magnetons per cell. The calculation puts the energy of formation at -0.17 eV per formula unit.

***

Crystalline YErRuPb at its relaxed geometry. Source: Alexandria via LeMat-Bulk, functional PBE.

Structure (extended XYZ):
```
4
Lattice="5.101 0.000 0.000 2.551 4.418 0.000 2.551 1.473 4.165" Properties=species:S:1:pos:R:3 pbc="T T T"
Ru 7.652 4.418 3.124
Pb 2.551 1.473 1.041
Y 5.101 2.945 2.083
Er 0.000 0.000 0.000
```

For the total moment, the calculation gives 0.000 Bohr magnetons per cell. The calculation puts the energy of formation at -1.13 eV per formula unit.

***

Crystalline Sc2GaH2 at its relaxed geometry. Source: Alexandria via LeMat-Bulk, functional PBE.

Structure (extended XYZ):
```
5
Lattice="-0.324 -1.937 2.689 2.444 -1.965 -1.121 4.982 1.315 3.610" Properties=species:S:1:pos:R:3 pbc="T T T"
Sc 4.880 -1.603 3.557
Sc 2.221 -0.984 1.621
H 2.859 -1.287 3.542
H 4.243 -1.301 1.637
Ga 0.000 0.000 0.000
```

For the total moment, the calculation gives 0.000 Bohr magnetons per cell. The calculation puts the raw total energy at -5.1583 eV/atom.

***

Crystalline Ta2CdHg at its relaxed geometry. Source: Alexandria via LeMat-Bulk, functional PBE.

Structure (extended XYZ):
```
4
Lattice="0.000 3.370 3.370 3.370 0.000 3.370 3.370 3.370 0.000" Properties=species:S:1:pos:R:3 pbc="T T T"
Hg 3.370 3.370 3.370
Cd 0.000 0.000 0.000
Ta 5.055 5.055 5.055
Ta 1.685 1.685 1.685
```

For the total moment, the calculation gives 0.000 Bohr magnetons per cell. The calculation puts the energy of formation at 2.64 eV per formula unit.

***

Crystalline TbPmHo5Tm2 at its relaxed geometry. Source: Alexandria via LeMat-Bulk, functional PBE.

Structure (extended XYZ):
```
18
Lattice="-1.884 5.205 -0.617 -4.670 -3.681 8.351 7.872 3.557 5.970" Properties=species:S:1:pos:R:3 pbc="T T T"
Ho 2.988 5.016 8.053
Ho -4.185 -0.756 6.403
Ho 2.227 1.878 9.040
Ho 0.676 3.397 1.459
Ho 1.936 4.226 4.597
Ho 0.434 1.590 12.088
Ho -0.707 0.500 6.382
Ho -2.225 3.429 10.587
Ho -1.555 2.912 4.175
Ho 0.000 0.051 0.431
Tm 1.166 4.682 10.796
Tm 1.235 0.889 3.730
Tm 4.558 2.382 6.171
Tm -3.455 2.603 7.371
Pm 5.597 5.803 6.724
Pm -1.117 0.707 9.379
Tb -2.145 -0.388 3.284
Tb -0.282 3.776 7.581
```

For the total moment, the calculation gives 0.001 Bohr magnetons per cell. The calculation puts the energy of formation at 1.46 eV per formula unit.

***

Crystalline NdYHg at its relaxed geometry. Source: Alexandria via LeMat-Bulk, functional PBE.

Structure (extended XYZ):
```
6
Lattice="-3.947 3.277 -1.418 -0.721 -3.476 3.966 2.338 4.833 4.662" Properties=species:S:1:pos:R:3 pbc="T T T"
Nd 1.169 2.417 2.331
Nd 0.000 0.000 0.000
Y -1.212 -0.017 3.337
Y -1.118 4.651 3.873
Hg -0.043 2.400 5.668
Hg -2.288 2.234 1.542
```

For the total moment, the calculation gives 0.002 Bohr magnetons per cell. The calculation puts the energy of formation at -0.85 eV per formula unit.

***

Crystalline Ca3InPt2 at its relaxed geometry. Source: Alexandria via LeMat-Bulk, functional PBE.

Structure (extended XYZ):
```
6
Lattice="4.336 0.002 -1.249 -0.335 4.084 -1.160 0.075 0.151 8.341" Properties=species:S:1:pos:R:3 pbc="T T T"
Pt 1.373 3.673 4.724
Pt 2.703 0.565 1.208
In 0.000 0.000 0.000
Ca 0.576 2.829 1.982
Ca 2.000 2.043 -1.205
Ca 3.499 1.408 3.950
```

For the total moment, the calculation gives 0.000 Bohr magnetons per cell. The calculation puts the energy of formation at -4.41 eV per formula unit.

***

Crystalline UAlNi2 at its relaxed geometry. Source: Alexandria via LeMat-Bulk, functional PBE.

Structure (extended XYZ):
```
4
Lattice="-2.637 1.273 0.062 -0.512 -0.928 -2.730 -2.669 -5.647 2.421" Properties=species:S:1:pos:R:3 pbc="T T T"
Al -1.574 0.172 -1.334
U -2.909 -2.651 -0.124
Ni -2.094 -4.430 1.899
Ni -0.576 -1.218 0.522
```

For the total moment, the calculation gives 0.002 Bohr magnetons per cell. The calculation puts the energy of formation at -1.37 eV per formula unit.

***

Crystalline Pm3Te4 at its relaxed geometry. Source: Alexandria via LeMat-Bulk, functional PBE.

Structure (extended XYZ):
```
7
Lattice="4.470 0.000 0.000 2.235 3.871 0.000 2.235 1.290 14.816" Properties=species:S:1:pos:R:3 pbc="T T T"
Pm 0.000 0.000 0.000
Pm 6.705 3.871 10.936
Pm 2.235 1.290 3.880
Te 2.235 1.290 9.294
Te 6.705 3.871 5.522
Te 4.470 2.581 1.865
Te 4.470 2.581 12.952
```

For the total moment, the calculation gives 0.000 Bohr magnetons per cell. The uncorrected formation energy comes out at -9.64 eV/f.u.

***

Crystalline Th2ScIn at its relaxed geometry. Source: Alexandria via LeMat-Bulk, functional PBE.

Structure (extended XYZ):
```
4
Lattice="-0.907 -3.205 0.719 1.003 -2.550 -2.025 10.125 -3.271 6.268" Properties=species:S:1:pos:R:3 pbc="T T T"
Sc 5.111 -4.513 2.481
In 0.000 0.000 0.000
Th 2.835 -6.122 0.512
Th 7.387 -2.904 4.449
```

For the total moment, the calculation gives 0.000 Bohr magnetons per cell. The calculation puts the energy of formation at 0.80 eV per formula unit.

***

Crystalline NaSm2P at its relaxed geometry. Source: Alexandria via LeMat-Bulk, functional PBE.

Structure (extended XYZ):
```
4
Lattice="3.902 0.000 0.000 1.951 3.379 0.000 1.951 1.126 10.609" Properties=species:S:1:pos:R:3 pbc="T T T"
P 3.902 2.253 5.305
Na 0.000 0.000 0.000
Sm 1.951 1.126 6.917
Sm 5.852 3.379 3.692
```

For the total moment, the calculation gives 0.000 Bohr magnetons per cell. The calculation puts the energy of formation at -2.35 eV per formula unit.

***

Crystalline AcSmTlSi at its relaxed geometry. Source: Alexandria via LeMat-Bulk, functional PBE.

Structure (extended XYZ):
```
4
Lattice="5.474 0.000 0.000 2.737 4.740 0.000 2.737 1.580 4.469" Properties=species:S:1:pos:R:3 pbc="T T T"
Sm 5.474 3.160 2.235
Si 2.737 1.580 1.117
Ac 0.000 0.000 0.000
Tl 8.211 4.740 3.352
```

For the total moment, the calculation gives 0.000 Bohr magnetons per cell. The uncorrected formation energy comes out at -1.15 eV/f.u.

***

Crystalline YMoPt2W at its relaxed geometry. Source: Alexandria via LeMat-Bulk, functional PBE.

Structure (extended XYZ):
```
5
Lattice="-3.012 -1.579 -3.417 0.319 -4.657 1.871 -3.751 0.904 2.889" Properties=species:S:1:pos:R:3 pbc="T T T"
Pt -1.506 -0.790 -1.708
Pt -1.876 0.452 1.445
W -3.222 -2.666 0.672
Y 0.160 -2.329 0.936
Mo 0.000 0.000 0.000
```

For the total moment, the calculation gives 3.193 Bohr magnetons per cell. The calculation puts the energy of formation at 7.41 eV per formula unit.

***

Crystalline Ca2SbAsPt6 at its relaxed geometry. Source: Alexandria via LeMat-Bulk, functional PBE.

Structure (extended XYZ):
```
20
Lattice="-1.891 1.174 -5.152 -8.252 -0.406 2.936 0.236 8.374 1.822" Properties=species:S:1:pos:R:3 pbc="T T T"
Pt -4.313 4.289 1.016
Pt -7.205 5.948 4.001
Pt -8.558 4.077 2.542
Pt -7.325 1.699 3.076
Pt -4.766 0.079 0.256
Pt -1.638 6.794 -0.907
Pt -1.467 0.878 -3.846
Pt -1.754 2.669 -1.804
Pt -9.503 4.664 -0.034
Pt -5.722 0.672 -2.348
Pt -5.248 4.870 -1.532
Pt -0.522 0.291 -1.271
Sb -5.855 3.893 3.036
Sb -3.225 0.475 -1.765
Ca -6.882 2.377 0.011
Ca -6.763 6.581 0.926
Ca -2.080 6.161 2.168
Ca -2.197 1.991 1.260
As -2.914 4.671 -0.922
As -6.166 -0.303 2.194
```

For the total moment, the calculation gives 0.000 Bohr magnetons per cell. The uncorrected formation energy comes out at -6.72 eV/f.u.

***

Crystalline ScAs2Os at its relaxed geometry. Source: Alexandria via LeMat-Bulk, functional PBE.

Structure (extended XYZ):
```
4
Lattice="3.905 0.003 0.001 1.951 3.383 0.001 1.948 1.126 5.438" Properties=species:S:1:pos:R:3 pbc="T T T"
As 3.901 2.256 2.918
As 1.948 1.127 5.239
Sc 1.951 1.128 1.360
Os 5.853 3.384 4.079
```

For the total moment, the calculation gives 0.000 Bohr magnetons per cell. The calculation puts the energy of formation at -1.66 eV per formula unit.

***

Crystalline BaBi2As2 at its relaxed geometry. Source: Alexandria via LeMat-Bulk, functional PBE.

Structure (extended XYZ):
```
5
Lattice="-0.151 1.171 4.527 -4.380 -1.623 0.274 0.245 -6.704 4.160" Properties=species:S:1:pos:R:3 pbc="T T T"
Bi -1.086 -2.879 5.544
Bi -3.200 -4.276 3.417
Ba 0.000 0.000 0.000
As -1.836 -1.333 2.701
As -2.450 -5.822 6.260
```

For the total moment, the calculation gives 0.000 Bohr magnetons per cell. The calculation puts the energy of formation at -1.87 eV per formula unit.

***

Crystalline Cs3Cu2GeI6 at its relaxed geometry. Source: Alexandria via LeMat-Bulk, functional PBE.

Structure (extended XYZ):
```
12
Lattice="8.750 0.000 0.000 -4.375 7.577 0.000 0.000 0.000 9.573" Properties=species:S:1:pos:R:3 pbc="T T T"
Cs 0.000 0.000 0.000
Cs 4.375 2.526 3.354
Cs 0.000 5.052 6.219
I 4.375 5.062 6.661
I -2.197 6.320 2.912
I 6.572 1.257 6.661
I 0.000 2.515 2.912
I 2.197 6.320 2.912
I 2.178 1.257 6.661
Ge 0.000 0.000 4.787
Cu 4.375 2.526 6.943
Cu 0.000 5.052 2.631
```

For the total moment, the calculation gives 0.000 Bohr magnetons per cell. The uncorrected formation energy comes out at -8.32 eV/f.u.

***

Crystalline LaPd2Ru at its relaxed geometry. Source: Alexandria via LeMat-Bulk, functional PBE.

Structure (extended XYZ):
```
4
Lattice="0.000 3.375 3.375 3.375 0.000 3.375 3.375 3.375 0.000" Properties=species:S:1:pos:R:3 pbc="T T T"
Pd 5.062 5.062 5.062
Pd 1.687 1.687 1.687
Ru 0.000 0.000 0.000
La 3.375 3.375 3.375
```

For the total moment, the calculation gives 1.001 Bohr magnetons per cell. The calculation puts the energy of formation at -0.38 eV per formula unit.

***

Crystalline Y2ReCl at its relaxed geometry. Source: Alexandria via LeMat-Bulk, functional PBE.

Structure (extended XYZ):
```
8
Lattice="6.061 0.000 0.000 0.000 6.061 0.000 3.030 3.030 6.651" Properties=species:S:1:pos:R:3 pbc="T T T"
Y 4.545 4.365 4.988
Y 4.726 1.515 1.663
Y 1.335 4.545 1.663
Y 7.576 7.756 4.988
Cl 3.030 6.061 3.325
Cl 3.030 3.030 0.000
Re 6.061 3.030 3.325
Re 0.000 0.000 0.000
```

For the total moment, the calculation gives 0.000 Bohr magnetons per cell. The uncorrected formation energy comes out at 0.80 eV/f.u.

***

Crystalline CsBi7O12 at its relaxed geometry. Source: Alexandria via LeMat-Bulk, functional PBE.

Structure (extended XYZ):
```
20
Lattice="7.597 0.000 0.000 -2.532 7.163 0.000 -2.532 -3.581 6.203" Properties=species:S:1:pos:R:3 pbc="T T T"
Bi -1.266 -1.791 3.101
Bi 1.266 1.791 3.101
Bi -2.532 1.791 3.101
Bi 2.532 -1.791 3.101
Bi 2.532 3.581 0.000
Bi -1.266 3.581 0.000
Bi 3.799 0.000 0.000
O 0.600 -0.424 3.171
O -2.476 3.860 4.250
O -0.057 2.029 4.985
O 3.132 1.047 4.250
O 4.465 4.204 1.218
O 2.589 1.552 1.218
O 1.932 4.006 3.032
O 0.057 5.332 0.735
O -1.932 -0.623 4.985
O 2.476 -1.751 5.468
O 5.008 -0.279 1.953
O -0.600 2.534 1.953
Cs 0.000 0.000 0.000
```

For the total moment, the calculation gives 0.000 Bohr magnetons per cell. The uncorrected formation energy comes out at -21.61 eV/f.u.